This record from Alexandria via LeMat-Bulk describes a relaxed HfZn2GeI crystal. The functional is PBE.

Properties
E_form (uncorrected) = 846 meV/atom
symmetry = P4/mmm (123)

a b c (Å): 5.295 5.457 5.295
angles (deg): 90.00 90.00 90.00
Sites, in units of the cell vectors:
I 0.000 0.500 0.000
Zn 0.000 0.000 0.500
Ge 0.500 0.500 0.500
Hf 0.000 0.000 0.000
Zn 0.500 0.000 0.000

This record from Alexandria via LeMat-Bulk describes a relaxed LaBeAs crystal. The functional is PBE.

Properties
DFT formation energy = -0.93 eV per formula unit
symmetry = Fmm2 (42)
energy above the most stable polymorph in this dataset = 570 meV per atom

a b c (Å): 6.082 5.750 3.573
angles (deg): 77.58 67.42 35.01
Sites, in units of the cell vectors:
As 0.962 0.962 0.038
La 0.667 0.667 0.333
Be 0.371 0.371 0.629

This record from Alexandria via LeMat-Bulk describes a relaxed YZnGaHg crystal. The functional is PBE.

Properties
DFT formation energy = -1.20 eV per formula unit
symmetry = F-43m (216)

a b c (Å): 4.925 4.925 4.925
angles (deg): 60.00 60.00 60.00
Sites, in units of the cell vectors:
Y 0.750 0.750 0.750
Hg 0.500 0.500 0.500
Zn 0.250 0.250 0.250
Ga 0.000 0.000 0.000

This record from Alexandria via LeMat-Bulk describes a relaxed Mg2TeAs crystal. The functional is PBE.

Properties
E_form (uncorrected) = -242 meV/atom
symmetry = Cmmm (65)
energy above the most stable polymorph in this dataset = 288 meV per atom

a b c (Å): 4.969 4.969 3.708
angles (deg): 90.00 90.00 99.21
Sites, in units of the cell vectors:
Mg 0.500 0.500 0.000
Mg 0.000 0.000 0.000
As 0.000 0.500 0.500
Te 0.500 0.000 0.500